{"formula": "IrWO2", "functional": "PBE+U", "state": "relaxed", "dft_energy_ev_per_cell": -23.8, "relative_energy_kcal_per_mol_atoms": 28.168, "n_ef_per_ev_atom": 1.0353, "lattice": [[0.000, 2.833, 2.833], [2.833, 0.000, 2.833], [2.833, 2.833, 0.000]], "species": ["Ir", "W", "O", "O"], "fractional_positions": [[0.000, 0.000, 0.000], [0.500, 0.500, 0.500], [0.250, 0.250, 0.250], [0.750, 0.750, 0.750]]}